Entry 1:
Below is CsYSe3 after structural relaxation, with properties calculated at the GGA-PBE level.

Cell and atoms, written as POSCAR:
```
CsYSe3
1.0
-0.969 5.139 2.027
-5.078 -0.018 -2.383
-2.177 -2.247 4.656
Cs Y Se
1 1 3
direct
0.500 0.500 0.500
0.000 0.000 0.000
0.000 0.500 0.000
0.000 0.000 0.500
0.500 0.000 0.000
```

Calculated values
distance to the lowest polymorph of the same formula	0.000	eV/atom
raw formation energy	-105.39	kJ per mole of atoms
N(E_F)	6.39	states/eV per cell
space-group type	No. 221
final energy	-23.23	eV per cell



Entry 2:
Below is Sm3Dy2Ho after structural relaxation, with properties calculated at the GGA-PBE level.

Cell and atoms, written as POSCAR:
```
Sm3Dy2Ho
1.0
-6.955 -0.529 -1.863
3.886 -5.241 7.911
2.210 5.464 4.168
Sm Dy Ho
6 4 2
direct
0.252 0.001 0.751
0.748 0.999 0.249
0.806 0.667 0.861
0.195 0.335 0.639
0.805 0.665 0.361
0.194 0.333 0.139
0.306 0.668 0.361
0.304 0.667 0.860
0.696 0.333 0.140
0.694 0.332 0.639
0.252 0.001 0.251
0.748 0.999 0.749
```

Calculated values
distance to the lowest polymorph of the same formula	0.008	eV/atom
N(E_F)	14.78	states/eV per cell
space-group type	No. 2
formation energy from the elements	0.005	eV/atom
final energy	-55.82	eV per cell



Entry 3:
Below is Tm5CdIn2 after structural relaxation, with properties calculated at the GGA-PBE level.

Cell and atoms, written as POSCAR:
```
Tm5CdIn2
1.0
4.622 0.000 0.000
-2.311 5.499 0.000
0.000 0.000 17.085
Tm Cd In
10 2 4
direct
0.956 0.911 0.902
0.956 0.911 0.598
0.348 0.696 0.463
0.348 0.696 0.037
0.457 0.914 0.250
0.543 0.086 0.750
0.652 0.304 0.537
0.652 0.304 0.963
0.044 0.089 0.098
0.044 0.089 0.402
0.829 0.657 0.750
0.171 0.343 0.250
0.758 0.516 0.349
0.758 0.516 0.151
0.242 0.484 0.651
0.242 0.484 0.849
```

Calculated values
N(E_F)	15.93	states/eV per cell
space-group type	No. 63
formation energy from the elements	-0.207	eV/atom
final energy	-60.82	eV per cell



Entry 4:
Below is SrPPt3 after structural relaxation, with properties calculated at the GGA-PBE level.

Cell and atoms, written as POSCAR:
```
SrPPt3
1.0
-0.796 -5.047 -0.787
2.734 -1.094 4.250
-4.315 0.238 2.837
Sr Pt P
1 3 1
direct
0.000 0.000 0.000
0.000 0.500 0.000
0.000 0.000 0.500
0.500 0.000 0.000
0.500 0.500 0.500
```

Calculated values
distance to the lowest polymorph of the same formula	2.712	eV/atom
N(E_F)	3.88	states/eV per cell
space-group type	No. 221
formation energy from the elements	1.893	eV/atom
final energy	-15.75	eV per cell



Entry 5:
Below is LiSmGa4Pt2 after structural relaxation, with properties calculated at the GGA-PBE level.

Cell and atoms, written as POSCAR:
```
LiSmGa4Pt2
1.0
4.304 0.000 0.000
2.152 3.727 0.000
2.152 1.242 8.635
Li Sm Ga Pt
1 1 4 2
direct
0.500 0.500 0.500
0.000 0.000 0.000
0.399 0.399 0.803
0.869 0.869 0.392
0.131 0.131 0.608
0.601 0.601 0.197
0.765 0.765 0.704
0.235 0.235 0.296
```

Calculated values
N(E_F)	2.44	states/eV per cell
space-group type	No. 166
formation energy from the elements	-0.733	eV/atom
final energy	-36.69	eV per cell



Entry 6:
Below is K2HAu after structural relaxation, with properties calculated at the GGA-PBE level.

Cell and atoms, written as POSCAR:
```
K2HAu
1.0
-2.344 -1.912 3.034
0.684 -4.126 0.931
4.516 -0.005 6.507
K H Au
2 1 1
direct
0.737 0.737 0.791
0.263 0.263 0.209
0.000 0.000 0.000
0.500 0.500 0.500
```

Calculated values
distance to the lowest polymorph of the same formula	0.025	eV/atom
N(E_F)	0.00	states/eV per cell
space-group type	No. 12
final energy	-9.64	eV per cell



Entry 7:
Below is Pm6Pt3O2 after structural relaxation, with properties calculated at the GGA-PBE level.

Cell and atoms, written as POSCAR:
```
Pm6Pt3O2
1.0
4.769 0.000 0.000
0.000 4.769 0.000
-2.384 -2.384 11.379
Pm Pt O
6 3 2
direct
0.083 0.583 0.166
0.583 0.083 0.166
0.917 0.417 0.834
0.417 0.917 0.834
0.705 0.705 0.410
0.295 0.295 0.590
0.000 0.000 0.000
0.830 0.830 0.660
0.170 0.170 0.340
0.401 0.401 0.803
0.599 0.599 0.197
```

Calculated values
raw formation energy	-154.29	kJ per mole of atoms
N(E_F)	8.79	states/eV per cell
space-group type	No. 139
final energy	-74.13	eV per cell



Entry 8:
Below is Sc8TlPt2 after structural relaxation, with properties calculated at the GGA-PBE level.

Cell and atoms, written as POSCAR:
```
Sc8TlPt2
1.0
5.018 -0.112 -0.168
-0.993 7.525 -0.221
-0.993 -3.102 6.859
Sc Tl Pt
8 1 2
direct
0.920 0.920 0.673
0.920 0.673 0.920
0.303 0.606 0.606
0.500 0.759 0.241
0.500 0.241 0.759
0.697 0.394 0.394
0.080 0.327 0.080
0.080 0.080 0.327
0.500 0.000 0.000
0.000 0.308 0.692
0.000 0.692 0.308
```

Calculated values
N(E_F)	14.25	states/eV per cell
space-group type	No. 12
formation energy from the elements	-0.510	eV/atom
final energy	-70.71	eV per cell



Entry 9:
Below is K2Al2Sn after structural relaxation, with properties calculated at the GGA-PBE level.

Cell and atoms, written as POSCAR:
```
K2Al2Sn
1.0
10.624 0.000 0.000
0.000 10.624 0.000
0.000 0.000 3.033
K Sn Al
4 2 4
direct
0.295 0.795 0.000
0.795 0.705 0.000
0.705 0.205 0.000
0.205 0.295 0.000
0.000 0.000 0.000
0.500 0.500 0.000
0.085 0.585 0.500
0.585 0.915 0.500
0.915 0.415 0.500
0.415 0.085 0.500
```

Calculated values
distance to the lowest polymorph of the same formula	0.312	eV/atom
N(E_F)	6.56	states/eV per cell
space-group type	No. 127
formation energy from the elements	0.412	eV/atom
final energy	-23.25	eV per cell



Entry 10:
Below is Re3SbCl after structural relaxation, with properties calculated at the GGA-PBE level.

Cell and atoms, written as POSCAR:
```
Re3SbCl
1.0
-2.353 3.722 0.683
-2.570 -2.162 2.928
2.778 1.152 3.289
Re Cl Sb
3 1 1
direct
0.000 0.500 0.000
0.000 0.000 0.500
0.500 0.000 0.000
0.000 0.000 0.000
0.500 0.500 0.500
```

Calculated values
distance to the lowest polymorph of the same formula	0.000	eV/atom
raw formation energy	178.70	kJ per mole of atoms
N(E_F)	5.43	states/eV per cell
space-group type	No. 221
final energy	-34.05	eV per cell



Entry 11:
Below is Li2CaHRh after structural relaxation, with properties calculated at the GGA-PBE level.

Cell and atoms, written as POSCAR:
```
Li2CaHRh
1.0
-0.424 3.895 0.901
-2.624 0.413 -3.018
-3.441 -1.034 2.850
H Ca Rh Li
1 1 1 2
direct
0.000 0.000 0.000
0.000 0.000 0.500
0.500 0.500 0.500
0.000 0.500 0.000
0.500 0.000 0.000
```

Calculated values
distance to the lowest polymorph of the same formula	0.000	eV/atom
N(E_F)	1.66	states/eV per cell
space-group type	No. 123
final energy	-17.51	eV per cell



Entry 12:
Below is Tc2SnGe after structural relaxation, with properties calculated at the GGA-PBE level.

Cell and atoms, written as POSCAR:
```
Tc2SnGe
1.0
3.190 0.000 0.000
0.000 4.474 0.000
0.000 0.000 4.474
Ge Sn Tc
1 1 2
direct
0.500 0.000 0.000
0.500 0.500 0.500
0.000 0.000 0.500
0.000 0.500 0.000
```

Calculated values
distance to the lowest polymorph of the same formula	0.062	eV/atom
N(E_F)	4.03	states/eV per cell
space-group type	No. 123
formation energy from the elements	0.136	eV/atom
final energy	-28.81	eV per cell